1.
This record from the Alexandria database describes a geometry-optimized Na2Te2I structure. The functional is GGA-PBEsol.

Unit cell a=8.4591 b=8.4591 c=4.4024 alpha=90.00 beta=90.00 gamma=90.00
Fractional coordinates of all 10 atoms:
Na1 0.1364 0.3636 0.0000
Na2 0.3636 0.8636 0.0000
Na3 0.6364 0.1364 0.0000
Na4 0.8636 0.6364 0.0000
Te1 0.1764 0.6764 0.5000
Te2 0.3236 0.1764 0.5000
Te3 0.6764 0.8236 0.5000
Te4 0.8236 0.3236 0.5000
I1 0.0000 0.0000 0.5000
I2 0.5000 0.5000 0.5000

Output
Formation energy without anion corrections = -2.2 eV per formula unit
Excess energy over the best structure of this formula in the dataset = 0.1152 eV per atom

2.
This record from the Alexandria database describes a geometry-optimized Ti2AlB2 structure. The functional is GGA-PBEsol.

Unit cell a=5.7235 b=5.7235 c=3.3515 alpha=90.00 beta=90.00 gamma=90.00
Fractional coordinates of all 10 atoms:
Ti1 0.1758 0.3242 0.0000
Ti2 0.3242 0.8242 0.0000
Ti3 0.6758 0.1758 0.0000
Ti4 0.8242 0.6758 0.0000
Al1 0.0000 0.0000 0.5000
Al2 0.5000 0.5000 0.5000
B1 0.1076 0.6076 0.5000
B2 0.3924 0.1076 0.5000
B3 0.6076 0.8924 0.5000
B4 0.8924 0.3924 0.5000

Output
Energy of formation from the pure elements = -750 meV per atom

Number 1: volume 315.02 Å³/cell, energy -2.760 eV per atom. Number 2: volume 109.79 Å³/cell, energy -7.703 eV per atom.